1.
Here is crystalline Tl2C at its relaxed geometry from the Alexandria database. Energies are from PBE-GGA.

Structure (POSCAR):
```
Tl2C
1.0
1.8894 -7.5733 0.0000
1.8894 7.5733 0.0000
0.0000 0.0000 6.1353
C Tl
2 4
Cartesian
1.8894 4.6025 4.0310
1.8894 -4.6025 0.9633
1.8894 -3.5594 2.9296
1.8894 3.5594 5.9973
1.8894 -6.9417 1.2285
1.8894 6.9417 4.2961
```

Computed properties:
calculated volume: 175.6 Å³/cell
excess energy over the best structure of this formula in the dataset: 0.576 eV/atom
size of the total moment: 0.00 μB per formula unit
energy of formation from the pure elements: 1263 meV/atom
energy: -10.167 eV/f.u.
space group: Cmc2_1
DOS at the Fermi energy: 1.14 states/eV/f.u.

2.
Here is crystalline Tl2C at its relaxed geometry from the Alexandria database. Energies are from PBE-GGA.

Structure (POSCAR):
```
Tl2C
1.0
-2.9474 1.0087 -5.8914
1.4291 -0.4027 -6.4968
0.0449 -2.5092 6.1738
Tl C
2 1
Cartesian
-0.1963 0.0783 -1.6013
-1.3220 0.5276 -10.7870
-0.7591 0.3030 -6.1941
```

Computed properties:
calculated volume: 67.2 Å³/cell
excess energy over the best structure of this formula in the dataset: 0.917 eV/atom
size of the total moment: 0.37 μB per formula unit
energy of formation from the pure elements: 1603 meV/atom
energy: -9.146 eV/f.u.
space group: I4/mmm
DOS at the Fermi energy: 2.32 states/eV/f.u.

3.
Here is crystalline Tl4C at its relaxed geometry from the Alexandria database. Energies are from PBE-GGA.

Structure (POSCAR):
```
Tl4C
1.0
-2.3806 -0.3380 4.4748
-2.9482 -3.7011 -1.8481
3.3832 -3.4631 1.5383
Tl C
4 1
Cartesian
0.2175 -3.5821 -0.1549
0.5013 -1.9006 3.0066
0.0000 0.0000 0.0000
-2.6644 -2.0196 1.3134
-0.9728 -3.7511 2.0825
```

Computed properties:
calculated volume: 131.1 Å³/cell
excess energy over the best structure of this formula in the dataset: 0.079 eV/atom
size of the total moment: 0.00 μB per formula unit
energy of formation from the pure elements: 907 meV/atom
energy: -14.155 eV/f.u.
space group: Pm-3m
DOS at the Fermi energy: 3.16 states/eV/f.u.

4.
Here is crystalline Tl2C at its relaxed geometry from the Alexandria database. Energies are from PBE-GGA.

Structure (POSCAR):
```
Tl2C
1.0
0.5154 -0.6630 6.3552
3.3036 -2.4649 4.9095
5.1771 4.0013 4.9980
C Tl
2 4
Cartesian
3.2250 -1.1394 7.6404
5.7711 2.0127 8.6223
7.1221 0.9076 12.6055
5.2132 -1.5965 12.0450
3.7828 2.4698 4.2177
1.8739 -0.0344 3.6572
```

Computed properties:
calculated volume: 142.7 Å³/cell
excess energy over the best structure of this formula in the dataset: 0.700 eV/atom
size of the total moment: 0.00 μB per formula unit
energy of formation from the pure elements: 1387 meV/atom
energy: -9.796 eV/f.u.
space group: C2/m
DOS at the Fermi energy: 1.18 states/eV/f.u.

5.
Here is crystalline Tl2C3 at its relaxed geometry from the Alexandria database. Energies are from PBE-GGA.

Structure (POSCAR):
```
Tl2C3
1.0
12.0397 -1.4127 -0.0099
12.0397 1.4127 -0.0099
11.8759 0.0000 2.4315
Tl C
2 3
Cartesian
14.1453 0.0000 0.9487
21.8100 0.0000 1.4628
0.0000 0.0000 0.0000
5.9927 0.0000 0.4019
29.9626 0.0000 2.0096
```

Computed properties:
calculated volume: 83.0 Å³/cell
excess energy over the best structure of this formula in the dataset: 0.703 eV/atom
size of the total moment: 0.00 μB per formula unit
energy of formation from the pure elements: 1779 meV/atom
energy: -23.508 eV/f.u.
space group: R-3m
DOS at the Fermi energy: 0.74 states/eV/f.u.

6.
Here is crystalline Tl2C at its relaxed geometry from the Alexandria database. Energies are from PBE-GGA.

Structure (POSCAR):
```
Tl2C
1.0
-2.5680 2.4537 -1.5575
-0.5665 -3.8274 -0.2670
-5.7110 0.1697 9.6836
Tl C
4 2
Cartesian
0.0000 0.0000 0.0000
-5.5169 -1.6064 6.5655
-2.8555 0.0849 4.8418
-3.3286 0.4024 1.2935
-2.6614 -1.6913 1.7237
-6.1841 0.4873 6.1353
```

Computed properties:
calculated volume: 146.5 Å³/cell
excess energy over the best structure of this formula in the dataset: 0.643 eV/atom
size of the total moment: 0.00 μB per formula unit
energy of formation from the pure elements: 1330 meV/atom
energy: -9.966 eV/f.u.
space group: P6_3/mmc
DOS at the Fermi energy: 1.24 states/eV/f.u.

7.
Here is crystalline TlC4 at its relaxed geometry from the Alexandria database. Energies are from PBE-GGA.

Structure (POSCAR):
```
TlC4
1.0
-1.3656 0.7206 4.1549
-4.2165 -0.2979 -1.3342
0.0624 -4.3634 0.7772
C Tl
4 1
Cartesian
-2.7911 0.2113 1.4104
-0.6516 -1.8214 2.4661
0.0000 0.0000 0.0000
-2.0771 -2.3307 -0.2785
-2.7599 -1.9704 1.7990
```

Computed properties:
calculated volume: 87.1 Å³/cell
excess energy over the best structure of this formula in the dataset: 2.929 eV/atom
size of the total moment: 0.53 μB per formula unit
energy of formation from the pure elements: 4847 meV/atom
energy: -15.026 eV/f.u.
space group: Pm-3m
DOS at the Fermi energy: 3.74 states/eV/f.u.

8.
Here is crystalline TlC7 at its relaxed geometry from the Alexandria database. Energies are from PBE-GGA.

Structure (POSCAR):
```
TlC7
1.0
0.0000 3.4500 3.4500
3.4500 0.0000 3.4500
3.4500 3.4500 0.0000
C Tl
7 1
Cartesian
1.7250 1.7250 0.0000
3.4500 3.4500 3.4500
1.7250 0.0000 1.7250
3.4500 1.7250 1.7250
1.7250 3.4500 1.7250
1.7250 1.7250 3.4500
0.0000 1.7250 1.7250
0.0000 0.0000 0.0000
```

Computed properties:
calculated volume: 82.1 Å³/cell
size of the total moment: 0.00 μB per formula unit
energy of formation from the pure elements: 4393 meV/atom
energy: -31.792 eV/f.u.
space group: Fm-3m
DOS at the Fermi energy: 1.80 states/eV/f.u.

9.
Here is crystalline Tl8C at its relaxed geometry from the Alexandria database. Energies are from PBE-GGA.

Structure (POSCAR):
```
Tl8C
1.0
-1.6872 -7.3795 -0.6017
5.4583 4.1009 3.3250
-5.7636 2.0480 4.5003
Tl C
8 1
Cartesian
0.5954 -1.5033 3.3119
-0.0780 1.5710 1.9993
-1.9036 -1.3622 0.9961
0.6969 -3.5490 0.7085
-5.5471 -3.9693 2.9026
3.0742 0.2704 2.0149
-2.5878 0.2727 3.9118
-0.2273 4.5779 5.8260
0.0000 0.0000 0.0000
```

Computed properties:
calculated volume: 282.1 Å³/cell
size of the total moment: 0.00 μB per formula unit
energy of formation from the pure elements: 561 meV/atom
energy: -23.103 eV/f.u.
space group: I4/mmm
DOS at the Fermi energy: 5.30 states/eV/f.u.

10.
Here is crystalline Tl2C at its relaxed geometry from the Alexandria database. Energies are from PBE-GGA.

Structure (POSCAR):
```
Tl2C
1.0
3.6128 0.0000 0.0000
-1.8064 3.1288 0.0000
0.0000 0.0000 6.0740
Tl C
2 1
Cartesian
0.0000 0.0000 4.5384
0.0000 0.0000 1.5356
0.0000 2.0859 3.0370
```

Computed properties:
calculated volume: 68.7 Å³/cell
excess energy over the best structure of this formula in the dataset: 0.763 eV/atom
size of the total moment: 0.00 μB per formula unit
energy of formation from the pure elements: 1450 meV/atom
energy: -9.606 eV/f.u.
space group: P-6m2
DOS at the Fermi energy: 1.65 states/eV/f.u.

11.
Here is crystalline Tl2C at its relaxed geometry from the Alexandria database. Energies are from PBE-GGA.

Structure (POSCAR):
```
Tl2C
1.0
3.2378 -5.6080 0.0000
3.2378 5.6080 0.0000
0.0000 0.0000 5.5307
Tl C
6 3
Cartesian
1.1147 -1.9307 1.3550
2.1231 -3.6773 4.1757
2.1231 3.6773 4.1757
4.2462 0.0000 1.3550
2.2294 0.0000 4.1757
1.1147 1.9307 1.3550
3.2378 -1.8693 2.7653
0.0000 0.0000 0.0000
3.2378 1.8693 2.7653
```

Computed properties:
calculated volume: 200.8 Å³/cell
excess energy over the best structure of this formula in the dataset: 0.664 eV/atom
size of the total moment: 0.00 μB per formula unit
energy of formation from the pure elements: 1351 meV/atom
energy: -9.904 eV/f.u.
space group: P-31m
DOS at the Fermi energy: 1.10 states/eV/f.u.

12.
Here is crystalline Tl5C3 at its relaxed geometry from the Alexandria database. Energies are from PBE-GGA.

Structure (POSCAR):
```
Tl5C3
1.0
6.6832 0.0000 0.0000
-3.3416 5.7876 0.0000
0.0000 0.0000 10.7115
C Tl
6 10
Cartesian
5.5329 1.9922 8.0336
1.1503 1.9922 2.6779
1.0411 5.7876 2.6779
-1.0411 5.7876 8.0336
-2.1913 3.7953 2.6779
2.1914 3.7954 8.0336
2.2767 3.9432 2.6779
-2.2766 3.9432 8.0336
1.0650 1.8445 8.0336
2.1298 0.0000 2.6779
0.0000 3.8584 0.0001
0.0000 3.8584 5.3557
1.2118 5.7876 8.0336
-1.0649 1.8445 2.6779
3.3416 1.9292 5.3556
3.3416 1.9292 0.0001
```

Computed properties:
calculated volume: 414.3 Å³/cell
excess energy over the best structure of this formula in the dataset: 0.234 eV/atom
size of the total moment: 0.00 μB per formula unit
energy of formation from the pure elements: 1525 meV/atom
energy: -27.306 eV/f.u.
space group: P6_3/mcm
DOS at the Fermi energy: 3.94 states/eV/f.u.

Copy entry 5 word for word.
Here is crystalline Tl2C3 at its relaxed geometry from the Alexandria database. Energies are from PBE-GGA.

Structure (POSCAR):
```
Tl2C3
1.0
12.0397 -1.4127 -0.0099
12.0397 1.4127 -0.0099
11.8759 0.0000 2.4315
Tl C
2 3
Cartesian
14.1453 0.0000 0.9487
21.8100 0.0000 1.4628
0.0000 0.0000 0.0000
5.9927 0.0000 0.4019
29.9626 0.0000 2.0096
```

Computed properties:
calculated volume: 83.0 Å³/cell
excess energy over the best structure of this formula in the dataset: 0.703 eV/atom
size of the total moment: 0.00 μB per formula unit
energy of formation from the pure elements: 1779 meV/atom
energy: -23.508 eV/f.u.
space group: R-3m
DOS at the Fermi energy: 0.74 states/eV/f.u.